1.
A relaxed structure of TbHo2MgAu4, computed with GGA-PBE. Values from VASP.

Cell and atoms, written as Quantum ESPRESSO input:
```
&SYSTEM
  ibrav = 0, nat = 8, ntyp = 4
/
ATOMIC_SPECIES
Au 196.97 Au.upf
Ho 164.93 Ho.upf
Mg 24.30 Mg.upf
Tb 158.93 Tb.upf
ATOMIC_POSITIONS crystal
Au 0.877 0.877 0.370
Au 0.626 0.626 0.121
Au 0.374 0.374 0.879
Ho 0.245 0.245 0.265
Au 0.123 0.123 0.630
Mg 0.500 0.500 0.500
Tb 0.000 0.000 0.000
Ho 0.755 0.755 0.735
CELL_PARAMETERS angstrom
-3.869 -2.669 1.689
-1.721 -3.861 -2.660
3.305 -7.183 3.601
```

Summary:
The value obtained for the calculated volume is 22.13 Å³/atom. Its space group is No. 166. The formation energy comes out at -0.8140 eV per atom.


2.
A relaxed structure of HoThMgAu, computed with GGA-PBE. Values from VASP.

Cell and atoms, written as Quantum ESPRESSO input:
```
&SYSTEM
  ibrav = 0, nat = 4, ntyp = 4
/
ATOMIC_SPECIES
Mg 24.30 Mg.upf
Ho 164.93 Ho.upf
Th 232.04 Th.upf
Au 196.97 Au.upf
ATOMIC_POSITIONS crystal
Mg 0.500 0.500 0.500
Ho 0.750 0.750 0.750
Th 0.250 0.250 0.250
Au 0.000 0.000 0.000
CELL_PARAMETERS angstrom
-4.625 -1.018 2.310
-3.926 -2.133 -2.792
-1.460 -4.983 0.889
```

Summary:
The value obtained for the calculated volume is 25.85 Å³/atom. Its space group is No. 216. The formation energy comes out at -0.2543 eV per atom.


3.
A relaxed structure of HoMgTlAu, computed with GGA-PBE. Values from VASP.

Cell and atoms, written as Quantum ESPRESSO input:
```
&SYSTEM
  ibrav = 0, nat = 4, ntyp = 4
/
ATOMIC_SPECIES
Ho 164.93 Ho.upf
Au 196.97 Au.upf
Mg 24.30 Mg.upf
Tl 204.38 Tl.upf
ATOMIC_POSITIONS crystal
Ho 0.750 0.750 0.750
Au 0.000 0.000 0.000
Mg 0.250 0.250 0.250
Tl 0.500 0.500 0.500
CELL_PARAMETERS angstrom
5.033 0.000 0.000
2.517 4.359 0.000
2.517 1.453 4.110
```

Summary:
The value obtained for the calculated volume is 22.54 Å³/atom. Its space group is No. 216. The formation energy comes out at -0.4967 eV per atom.


4.
A relaxed structure of HoTm2MgAu4, computed with GGA-PBE. Values from VASP.

Cell and atoms, written as Quantum ESPRESSO input:
```
&SYSTEM
  ibrav = 0, nat = 8, ntyp = 4
/
ATOMIC_SPECIES
Ho 164.93 Ho.upf
Mg 24.30 Mg.upf
Au 196.97 Au.upf
Tm 168.93 Tm.upf
ATOMIC_POSITIONS crystal
Ho 0.000 0.000 0.000
Mg 0.500 0.500 0.500
Au 0.877 0.877 0.369
Au 0.626 0.626 0.121
Au 0.374 0.374 0.879
Tm 0.755 0.755 0.736
Au 0.123 0.123 0.631
Tm 0.245 0.245 0.264
CELL_PARAMETERS angstrom
4.959 0.000 0.000
2.480 4.295 0.000
2.480 1.432 8.127
```

Summary:
The value obtained for the calculated volume is 21.64 Å³/atom. Its space group is No. 166. The formation energy comes out at -0.8287 eV per atom.


5.
A relaxed structure of HoTmMgAu, computed with GGA-PBE. Values from VASP.

Cell and atoms, written as Quantum ESPRESSO input:
```
&SYSTEM
  ibrav = 0, nat = 4, ntyp = 4
/
ATOMIC_SPECIES
Mg 24.30 Mg.upf
Tm 168.93 Tm.upf
Au 196.97 Au.upf
Ho 164.93 Ho.upf
ATOMIC_POSITIONS crystal
Mg 0.000 0.000 0.000
Tm 0.750 0.750 0.750
Au 0.500 0.500 0.500
Ho 0.250 0.250 0.250
CELL_PARAMETERS angstrom
5.148 0.000 0.000
2.574 4.459 0.000
2.574 1.486 4.204
```

Summary:
The value obtained for the relative energy among the computed polymorphs is 56.9 meV per atom. The value obtained for the calculated volume is 24.12 Å³/atom. Its space group is No. 216. The formation energy comes out at -0.4169 eV per atom.


6.
A relaxed structure of HoTmMgAu, computed with GGA-PBE. Values from VASP.

Cell and atoms, written as Quantum ESPRESSO input:
```
&SYSTEM
  ibrav = 0, nat = 4, ntyp = 4
/
ATOMIC_SPECIES
Au 196.97 Au.upf
Ho 164.93 Ho.upf
Mg 24.30 Mg.upf
Tm 168.93 Tm.upf
ATOMIC_POSITIONS crystal
Au 0.500 0.500 0.602
Ho 0.000 0.000 0.842
Mg 0.500 0.500 0.111
Tm 0.000 0.000 0.373
CELL_PARAMETERS angstrom
3.673 0.000 0.000
0.000 3.673 0.000
0.000 0.000 7.216
```

Summary:
The value obtained for the relative energy among the computed polymorphs is 0.0 meV per atom. The value obtained for the calculated volume is 24.34 Å³/atom. Its space group is No. 99. The formation energy comes out at -0.4738 eV per atom.


7.
A relaxed structure of YHoMg2Au4, computed with GGA-PBE. Values from VASP.

Cell and atoms, written as Quantum ESPRESSO input:
```
&SYSTEM
  ibrav = 0, nat = 8, ntyp = 4
/
ATOMIC_SPECIES
Ho 164.93 Ho.upf
Mg 24.30 Mg.upf
Y 88.91 Y.upf
Au 196.97 Au.upf
ATOMIC_POSITIONS crystal
Ho 0.500 0.500 0.500
Mg 0.750 0.750 0.750
Y 0.000 0.000 0.000
Au 0.873 0.873 0.380
Au 0.375 0.375 0.874
Mg 0.250 0.250 0.250
Au 0.625 0.625 0.126
Au 0.127 0.127 0.620
CELL_PARAMETERS angstrom
4.913 0.000 0.000
2.457 4.255 0.000
2.457 1.418 7.969
```

Summary:
The value obtained for the calculated volume is 20.82 Å³/atom. Its space group is No. 166. The formation energy comes out at -0.7837 eV per atom.


8.
A relaxed structure of HoMgZn2Au4, computed with GGA-PBE. Values from VASP.

Cell and atoms, written as Quantum ESPRESSO input:
```
&SYSTEM
  ibrav = 0, nat = 8, ntyp = 4
/
ATOMIC_SPECIES
Ho 164.93 Ho.upf
Zn 65.41 Zn.upf
Mg 24.30 Mg.upf
Au 196.97 Au.upf
ATOMIC_POSITIONS crystal
Ho 0.000 0.000 0.000
Zn 0.751 0.751 0.746
Zn 0.249 0.249 0.254
Mg 0.500 0.500 0.500
Au 0.873 0.873 0.382
Au 0.388 0.388 0.837
Au 0.127 0.127 0.618
Au 0.612 0.612 0.163
CELL_PARAMETERS angstrom
-2.116 2.991 -2.811
-1.181 -1.289 -4.274
-8.230 -1.921 0.359
```

Summary:
The value obtained for the calculated volume is 18.53 Å³/atom. Its space group is No. 166. The formation energy comes out at -0.5274 eV per atom.


Density of states at the Fermi level list, top to bottom, in states/eV per atom: 0.62, 0.94, 0.73, 0.54, 1.04, 0.83, 0.68, 0.35
Magnetic moment list, top to bottom, in μB per formula unit: 0.00, 0.69, 0.00, 0.00, 0.00, 0.00, 0.00, 0.00